Ag2SbPb: relaxed, PBE.

POSCAR file:
```
Ag2SbPb
1.0
3.324 0.000 0.000
0.000 3.254 0.000
0.000 0.000 8.770
Ag Pb Sb
2 1 1
Cartesian
0.000 0.000 0.177
1.662 1.627 1.916
0.000 0.000 4.079
1.662 1.627 6.983
```

Summary:
* energy: -3.30 eV per atom
* total moment: 0.00 μB per cell
* symmetry: Pmm2, No. 25
* formation energy (no corrections): 0.09 eV/atom
* crystal system: orthorhombic